Here is CrCdPdF6 after structural relaxation from Alexandria. Energies are from GGA+U.

It has space group P-31c (No. 163), with a = 5.7057 Å, b = 5.7057 Å, c = 9.4624 Å, α = 90.00°, β = 90.00° and γ = 120.00°. The distinct sites, in fractional coordinates, are Cr at (0.3333, 0.6667, 0.2500), Cd at (0.3333, 0.6667, 0.7500), Pd at (0.0000, 0.0000, 0.0000) and F at (0.0412, 0.3824, 0.1366).

As for the total energy: -85.4 eV/cell.